(1)
## Zr2TeRu (PBE-GGA)

Data for a geometry-optimized Zr2TeRu structure.

Summary:
Raw total energy = -7.397 eV per atom
Space-group type = R3m (160)
Calculated density = 7.89 g/cm3
Formation energy from raw total energies = -0.1 eV/f.u.
Crystal system = trigonal
Total magnetization = 0.000 μB per atom

abc: 3.348 3.348 26.733
angles: 90.00 90.00 120.00
Fractional coordinates of all 12 atoms:
Zr: 0.000 0.000 0.000
Zr: 0.000 0.000 0.238
Zr: 0.333 0.667 0.667
Zr: 0.333 0.667 0.905
Zr: 0.667 0.333 0.333
Zr: 0.667 0.333 0.571
Te: 0.000 0.000 0.755
Te: 0.333 0.667 0.421
Te: 0.667 0.333 0.088
Ru: 0.000 0.000 0.504
Ru: 0.333 0.667 0.171
Ru: 0.667 0.333 0.837

(2)
## Zr2TeRu (PBE-GGA)

Data for a geometry-optimized Zr2TeRu structure.

Summary:
Raw total energy = -7.795 eV per atom
Space-group type = P4/mmm (123)
Calculated density = 8.37 g/cm3
Formation energy from raw total energies = -1.7 eV/f.u.
Crystal system = tetragonal
Total magnetization = 0.000 μB per atom

abc: 3.437 3.437 6.907
angles: 90.00 90.00 90.00
Fractional coordinates of all 4 atoms:
Zr: 0.000 0.000 0.225
Zr: 0.000 0.000 0.775
Te: 0.500 0.500 0.500
Ru: 0.500 0.500 0.000

(3)
## Zr2TeRu (PBE-GGA)

Data for a geometry-optimized Zr2TeRu structure.

Summary:
Raw total energy = -7.803 eV per atom
Space-group type = P2/m (10)
Calculated density = 8.32 g/cm3
Formation energy from raw total energies = -1.7 eV/f.u.
Crystal system = monoclinic
Total magnetization = 0.000 μB per atom

abc: 3.405 3.471 6.987
angles: 90.00 96.68 90.00
Fractional coordinates of all 4 atoms:
Zr: 0.014 0.000 0.275
Zr: 0.986 0.000 0.725
Te: 0.500 0.500 0.000
Ru: 0.500 0.500 0.500